This record from Alexandria describes an optimized crystal structure of K5CrO4F2. The functional is PBE+U.

Space-group type ... Amm2 (38)
Calculated volume ... 19.82 Å³ per atom
Total energy ... -5.032 eV/atom

Geometry as extended XYZ:
```
12
Lattice="7.623 0.000 0.000 0.000 4.958 3.146 0.000 -4.958 3.146" Properties=species:S:1:pos:R:3 pbc="T T T"
K 0.000 0.000 0.000
K 2.006 -1.855 3.066
K 2.006 1.855 3.066
K 5.617 -1.855 3.066
K 5.617 1.855 3.066
Cr 3.812 0.000 6.263
O 2.420 0.000 1.015
O 3.812 -1.384 5.212
O 3.812 1.384 5.212
O 5.203 0.000 1.015
F 0.000 -2.084 4.720
F 0.000 2.084 4.720
```